# 1
# PrErGaCu (PBE-GGA, optimized geometry)
# Energy relative to the elements in eV per atom: -0.361
# Volume in Å³ per cell: 372.84
data_PrErGaCu
_chemical_formula_sum 'Pr4 Er4 Ga4 Cu4'
_cell_length_a 7.197
_cell_length_b 7.197
_cell_length_c 7.197
_cell_angle_alpha 90.00
_cell_angle_beta 90.00
_cell_angle_gamma 90.00
_symmetry_space_group_name_H-M 'F -4 3 m'
_symmetry_Int_Tables_number 216
_symmetry_space_group_name_Hall 'F -4 2 3'
loop_
_atom_site_label
_atom_site_type_symbol
_atom_site_fract_x
_atom_site_fract_y
_atom_site_fract_z
Pr1 Pr 0.000 0.000 0.000
Er1 Er 0.000 0.000 0.500
Ga1 Ga 0.250 0.250 0.750
Cu1 Cu 0.250 0.250 0.250

# 2
# ErGa2CuPt4 (PBE-GGA, optimized geometry)
# Energy relative to the elements in eV per atom: -0.710
# Volume in Å³ per cell: 397.39
data_ErGa2CuPt4
_chemical_formula_sum 'Er3 Ga6 Cu3 Pt12'
_cell_length_a 4.3658
_cell_length_b 4.3658
_cell_length_c 24.0750
_cell_angle_alpha 90.00
_cell_angle_beta 90.00
_cell_angle_gamma 120.00
_symmetry_space_group_name_H-M 'R -3 m'
_symmetry_Int_Tables_number 166
_symmetry_space_group_name_Hall '-R 3 2"'
loop_
_atom_site_label
_atom_site_type_symbol
_atom_site_fract_x
_atom_site_fract_y
_atom_site_fract_z
Er1 Er 0.0000 0.0000 0.0000
Ga1 Ga 0.0000 0.0000 0.2441
Cu1 Cu 0.0000 0.0000 0.5000
Pt1 Pt 0.0000 0.0000 0.1294
Pt2 Pt 0.0000 0.0000 0.3965

# 3
# Er2Ga4CuPt3 (PBE-GGA, optimized geometry)
# Energy relative to the elements in eV per atom: -0.828
# Volume in Å³ per cell: 182.94
data_Er2Ga4CuPt3
_chemical_formula_sum 'Er2 Ga4 Cu1 Pt3'
_cell_length_a 4.063
_cell_length_b 4.063
_cell_length_c 11.083
_cell_angle_alpha 90.00
_cell_angle_beta 90.00
_cell_angle_gamma 90.00
_symmetry_space_group_name_H-M 'P -4 m 2'
_symmetry_Int_Tables_number 115
_symmetry_space_group_name_Hall 'P -4 -2'
loop_
_atom_site_label
_atom_site_type_symbol
_atom_site_fract_x
_atom_site_fract_y
_atom_site_fract_z
Er1 Er 0.000 0.500 0.249
Ga1 Ga 0.000 0.000 0.500
Ga2 Ga 0.000 0.500 0.869
Ga3 Ga 0.500 0.500 0.500
Cu1 Cu 0.500 0.500 0.000
Pt1 Pt 0.000 0.000 0.000
Pt2 Pt 0.000 0.500 0.645

# 4
# ErGaCuPt2 (PBE-GGA, optimized geometry)
# Energy relative to the elements in eV per atom: -0.807
# Volume in Å³ per cell: 178.86
data_ErGaCuPt2
_chemical_formula_sum 'Er2 Ga2 Cu2 Pt4'
_cell_length_a 3.729
_cell_length_b 3.729
_cell_length_c 12.861
_cell_angle_alpha 90.00
_cell_angle_beta 90.00
_cell_angle_gamma 90.00
_symmetry_space_group_name_H-M 'I -4 m 2'
_symmetry_Int_Tables_number 119
_symmetry_space_group_name_Hall 'I -4 -2'
loop_
_atom_site_label
_atom_site_type_symbol
_atom_site_fract_x
_atom_site_fract_y
_atom_site_fract_z
Er1 Er 0.000 0.000 0.000
Ga1 Ga 0.000 0.500 0.250
Cu1 Cu 0.000 0.500 0.750
Pt1 Pt 0.000 0.000 0.394

Among the records above, which one has the highest energy relative to the elements? PrErGaCu